Crystalline K3NaAs2Au2 at its relaxed geometry, computed with GGA-PBE.

The value obtained for the total energy is -24.5 eV/cell.

It has space group Pm (No. 6), with a = 6.114 Å, b = 6.223 Å, c = 6.259 Å, α = 90.00°, β = 104.71° and γ = 90.00°. The asymmetric unit holds K at (0.000, 0.000, 0.000), K at (0.057, 0.500, 0.350), K at (0.358, 0.000, 0.661), Na at (0.693, 0.500, 0.694), As at (0.284, 0.500, 0.903), As at (0.795, 0.000, 0.449) and Au at (0.531, 0.251, 0.185).

***

Crystalline CsKPuS3 at its relaxed geometry, computed with GGA-PBE.

The total magnetic moment comes out at 0.666 μB per atom. The value obtained for the total energy is -73.1 eV/cell.

It has space group P-1 (No. 2), with a = 7.355 Å, b = 7.531 Å, c = 8.046 Å, α = 68.89°, β = 86.33° and γ = 85.07°. The asymmetric unit holds Cs at (0.219, 0.189, 0.499), K at (0.296, 0.514, 0.819), Pu at (0.251, 0.925, 0.089), S at (0.007, 0.801, 0.934), S at (0.261, 0.686, 0.402) and S at (0.492, 0.152, 0.126).

***

Crystalline ReNiBMo at its relaxed geometry, computed with GGA-PBE.

The total magnetic moment comes out at 0.000 μB per atom. The offset from the most stable computed form is 0 kJ/mol of formula units. The value obtained for the total energy is -137.7 eV/cell.

It has space group F-43m (No. 216), with a = 5.748 Å, b = 5.748 Å, c = 5.748 Å, α = 90.00°, β = 90.00° and γ = 90.00°. The asymmetric unit holds Re at (0.000, 0.000, 0.000), Ni at (0.250, 0.250, 0.750), B at (0.250, 0.250, 0.250) and Mo at (0.000, 0.000, 0.500).

***

no.,calculated density (kg/m3)
1,4932
2,4109
3,12299